Record 1
This record from Alexandria describes a geometry-optimized LiTe2Br structure. The functional is PBE.

Results
formation energy without anion corrections: -0.198 eV per atom
space-group type: Cmmm (65)

Unit cell a=7.9104 b=7.9104 c=4.2300 alpha=90.00 beta=90.00 gamma=140.63
Fractional positions:
Li  0.0000  0.5000  0.5000
Te  0.0000  0.0000  0.0000
Te  0.5000  0.5000  0.0000
Br  0.5000  0.0000  0.5000

Record 2
This record from Alexandria describes a geometry-optimized AcTb5In6 structure. The functional is PBE.

Results
energy relative to the elements: -0.45 eV per atom
space-group type: Immm (71)

Unit cell a=5.4420 b=7.5903 c=9.4065 alpha=113.79 beta=106.81 gamma=90.00
Fractional positions:
Tb  0.6601  0.1601  0.3203
Tb  0.3399  0.8399  0.6797
Tb  0.6698  0.6698  0.3395
Tb  0.3302  0.3302  0.6605
Tb  0.0000  0.5000  0.0000
In  0.5000  0.7267  0.0000
In  0.8274  0.5657  0.6547
In  0.8274  0.0890  0.6547
In  0.1726  0.9110  0.3453
In  0.5000  0.2733  0.0000
In  0.1726  0.4343  0.3453
Ac  0.0000  0.0000  0.0000

Record 3
This record from Alexandria describes a geometry-optimized NaLi2AcHg4 structure. The functional is PBE.

Results
energy relative to the elements: -0.33 eV per atom
space-group type: R-3m (166)

Unit cell a=4.8981 b=4.8981 c=10.0258 alpha=75.86 beta=75.86 gamma=60.00
Fractional positions:
Hg  0.8791  0.8791  0.3626
Hg  0.3948  0.3948  0.8156
Hg  0.1209  0.1209  0.6374
Hg  0.6052  0.6052  0.1844
Li  0.2347  0.2347  0.2960
Li  0.7653  0.7653  0.7040
Ac  0.0000  0.0000  0.0000
Na  0.5000  0.5000  0.5000

Record 4
This record from Alexandria describes a geometry-optimized BeCrTc structure. The functional is PBE.

Results
energy relative to the elements: 0.14 eV per atom
space-group type: Fmm2 (42)

Unit cell a=6.0004 b=5.8372 c=2.5675 alpha=81.05 beta=73.94 gamma=25.00
Fractional positions:
Cr  0.3420  0.3420  0.6580
Tc  0.6609  0.6609  0.3391
Be  0.9971  0.9971  0.0029

Record 5
This record from Alexandria describes a geometry-optimized SrSnSb2I structure. The functional is PBE.

Results
formation energy without anion corrections: -0.091 eV per atom
space-group type: P4/mmm (123)

Unit cell a=5.6640 b=5.6640 c=6.1608 alpha=90.00 beta=90.00 gamma=90.00
Fractional positions:
I  0.0000  0.0000  0.5000
Sb  0.5000  0.0000  0.0000
Sb  0.0000  0.5000  0.0000
Sn  0.0000  0.0000  0.0000
Sr  0.5000  0.5000  0.5000

Record 6
This record from Alexandria describes a geometry-optimized NaAsS2 structure. The functional is PBE.

Results
formation energy without anion corrections: 0.132 eV per atom
space-group type: R-3m (166)

Unit cell a=9.3015 b=9.3015 c=9.3015 alpha=19.66 beta=19.66 gamma=19.66
Fractional positions:
As  0.0000  0.0000  0.0000
S  0.0902  0.0902  0.0902
S  0.9098  0.9098  0.9098
Na  0.5000  0.5000  0.5000

Record 7
This record from Alexandria describes a geometry-optimized TbY3Tm5 structure. The functional is PBE.

Results
energy relative to the elements: 0.13 eV per atom
space-group type: Cmcm (63)

Unit cell a=9.1555 b=9.7586 c=7.2019 alpha=90.00 beta=90.00 gamma=117.98
Fractional positions:
Y  0.1890  0.3787  0.7499
Y  0.1898  0.3787  0.2499
Y  0.8102  0.6213  0.7501
Y  0.0000  0.0000  0.5000
Y  0.0000  0.0000  0.0000
Y  0.8110  0.6213  0.2501
Tm  0.5200  0.6765  0.9988
Tm  0.4801  0.3235  0.4987
Tm  0.5199  0.6765  0.5013
Tm  0.4800  0.3235  0.0012
Tm  0.6582  0.0000  0.2500
Tm  0.1566  0.6765  0.0013
Tm  0.8435  0.3235  0.5012
Tm  0.8434  0.3235  0.9987
Tm  0.3418  0.0000  0.7500
Tm  0.1565  0.6765  0.4988
Tb  0.6982  0.0000  0.7500
Tb  0.3018  0.0000  0.2500

Record 8
This record from Alexandria describes a geometry-optimized CeMgCl6 structure. The functional is PBE.

Results
formation energy without anion corrections: -1.860 eV per atom
space-group type: R-3 (148)

Unit cell a=6.6091 b=6.6070 c=7.0908 alpha=62.21 beta=62.20 gamma=59.97
Fractional positions:
Cl  0.1180  0.3944  0.7432
Cl  0.6057  0.2555  0.2570
Cl  0.3943  0.7445  0.7430
Cl  0.8820  0.6056  0.2568
Cl  0.2552  0.8822  0.2569
Cl  0.7448  0.1178  0.7431
Ce  0.0000  0.0000  0.0000
Mg  0.5000  0.5000  0.5000

Record 9
This record from Alexandria describes a geometry-optimized CsRbH2 structure. The functional is PBE.

Results
space-group type: P4/mmm (123)

Unit cell a=3.7093 b=3.7093 c=7.4232 alpha=90.00 beta=90.00 gamma=90.00
Fractional positions:
Rb  0.5000  0.5000  0.0000
H  0.0000  0.0000  0.2403
H  0.0000  0.0000  0.7597
Cs  0.5000  0.5000  0.5000

Record 10
This record from Alexandria describes a geometry-optimized ScHgN2O structure. The functional is PBE.

Results
formation energy without anion corrections: 0.940 eV per atom
space-group type: P4/mmm (123)

Unit cell a=4.1014 b=4.1014 c=4.1458 alpha=90.00 beta=90.00 gamma=90.00
Fractional positions:
Sc  0.5000  0.5000  0.5000
N  0.0000  0.5000  0.0000
N  0.5000  0.0000  0.0000
Hg  0.0000  0.0000  0.0000
O  0.0000  0.0000  0.5000

Record 11
This record from Alexandria describes a geometry-optimized TaTiMnBe2 structure. The functional is PBE.

Results
energy relative to the elements: 1.84 eV per atom
space-group type: P4/mmm (123)

Unit cell a=4.2587 b=4.4961 c=4.2587 alpha=90.00 beta=90.00 gamma=90.00
Each line ends with the local moment (μB).
Fractional positions:
Be  0.0000  0.0000  0.5000  -0.09
Be  0.5000  0.0000  0.0000  -0.10
Ta  0.0000  0.5000  0.0000  0.07
Ti  0.0000  0.0000  0.0000  -0.44
Mn  0.5000  0.5000  0.5000  -0.01

Calculated E_tot, -2.6654 -4.0889 -1.6387 -7.7612 -3.1874 -3.4243 -5.0241 -4.1865 -2.2388 -4.7084 -5.4371 eV/atom (same order as the records).